No. 1
# CsSi8

A relaxed structure of CsSi8 (GGA-PBE, Alexandria via LeMat-Bulk).

a = 4.850 Å, b = 7.502 Å, c = 6.622 Å
α = 78.57°, β = 80.05°, γ = 60.40°
Element x y z (fractional)
Si 0.759 0.981 0.493
Si 0.233 0.507 0.019
Si 0.092 0.609 0.391
Si 0.344 0.656 0.656
Si 0.908 0.391 0.609
Si 0.241 0.019 0.507
Si 0.656 0.344 0.344
Si 0.767 0.493 0.981
Cs 0.000 0.000 0.000

Properties
- Formation energy from raw total energies: 4.2 eV/f.u.
- Total energy: -4.448 eV/atom
- Magnetic moment: 0.00 μB/cell
- Symmetry: C2/m

***

No. 2
# CsSi4

A relaxed structure of CsSi4 (GGA-PBE, Alexandria via LeMat-Bulk).

a = 5.472 Å, b = 5.472 Å, c = 5.472 Å
α = 90.00°, β = 90.00°, γ = 90.00°
Element x y z (fractional)
Si 0.000 0.500 0.500
Si 0.000 0.000 0.000
Si 0.500 0.500 0.000
Si 0.500 0.000 0.500
Cs 0.500 0.500 0.500

Properties
- Formation energy from raw total energies: 12.8 eV/f.u.
- Total energy: -1.940 eV/atom
- Magnetic moment: 0.00 μB/cell
- Symmetry: Pm-3m

***

No. 3
# CsSi

A relaxed structure of CsSi (GGA-PBE, Alexandria via LeMat-Bulk).

a = 3.971 Å, b = 6.385 Å, c = 6.864 Å
α = 117.72°, β = 106.81°, γ = 90.00°
Element x y z (fractional)
Si 0.305 0.555 0.611
Si 0.695 0.445 0.389
Cs 0.089 0.839 0.178
Cs 0.911 0.161 0.822

Properties
- Formation energy from raw total energies: 0.1 eV/f.u.
- Total energy: -3.079 eV/atom
- Magnetic moment: 0.00 μB/cell
- Symmetry: Imma

***

No. 4
# Cs5Si6

A relaxed structure of Cs5Si6 (GGA-PBE, Alexandria via LeMat-Bulk).

a = 7.616 Å, b = 7.551 Å, c = 8.157 Å
α = 62.43°, β = 81.85°, γ = 72.16°
Element x y z (fractional)
Si 0.671 0.918 0.000
Si 0.162 0.818 0.170
Si 0.838 0.182 0.830
Si 0.162 0.988 0.830
Si 0.329 0.082 0.000
Si 0.838 0.012 0.170
Cs 0.000 0.348 0.305
Cs 0.000 0.652 0.695
Cs 0.500 0.231 0.538
Cs 0.500 0.500 0.000
Cs 0.500 0.769 0.462

Properties
- Formation energy from raw total energies: 0.8 eV/f.u.
- Total energy: -3.270 eV/atom
- Magnetic moment: 0.00 μB/cell
- Symmetry: C2/m

***

No. 5
# CsSi

A relaxed structure of CsSi (GGA-PBE, Alexandria via LeMat-Bulk).

a = 13.696 Å, b = 13.696 Å, c = 13.696 Å
α = 90.00°, β = 90.00°, γ = 90.00°
Element x y z (fractional)
Cs 0.433 0.640 0.162
Cs 0.335 0.335 0.335
Cs 0.860 0.933 0.338
Cs 0.665 0.335 0.665
Cs 0.338 0.860 0.933
Cs 0.140 0.933 0.662
Cs 0.338 0.140 0.067
Cs 0.662 0.860 0.067
Cs 0.360 0.838 0.433
Cs 0.838 0.433 0.360
Cs 0.567 0.640 0.838
Cs 0.162 0.567 0.360
Cs 0.140 0.067 0.338
Cs 0.662 0.140 0.933
Cs 0.433 0.360 0.838
Cs 0.335 0.665 0.665
Cs 0.165 0.165 0.835
Cs 0.933 0.338 0.860
Cs 0.835 0.165 0.165
Cs 0.838 0.567 0.640
Cs 0.933 0.662 0.140
Cs 0.567 0.360 0.162
Cs 0.640 0.838 0.567
Cs 0.165 0.835 0.165
Cs 0.360 0.162 0.567
Cs 0.640 0.162 0.433
Cs 0.835 0.835 0.835
Cs 0.162 0.433 0.640
Cs 0.067 0.338 0.140
Cs 0.665 0.665 0.335
Cs 0.860 0.067 0.662
Cs 0.067 0.662 0.860
Si 0.937 0.063 0.937
Si 0.437 0.437 0.563
Si 0.941 0.688 0.432
Si 0.932 0.812 0.559
Si 0.312 0.568 0.941
Si 0.188 0.559 0.068
Si 0.068 0.188 0.559
Si 0.063 0.937 0.937
Si 0.941 0.312 0.568
Si 0.059 0.312 0.432
Si 0.441 0.932 0.188
Si 0.437 0.563 0.437
Si 0.068 0.812 0.441
Si 0.812 0.559 0.932
Si 0.063 0.063 0.063
Si 0.568 0.059 0.688
Si 0.312 0.432 0.059
Si 0.688 0.568 0.059
Si 0.563 0.563 0.563
Si 0.559 0.068 0.188
Si 0.432 0.941 0.688
Si 0.188 0.441 0.932
Si 0.559 0.932 0.812
Si 0.688 0.432 0.941
Si 0.932 0.188 0.441
Si 0.441 0.068 0.812
Si 0.812 0.441 0.068
Si 0.432 0.059 0.312
Si 0.059 0.688 0.568
Si 0.937 0.937 0.063
Si 0.563 0.437 0.437
Si 0.568 0.941 0.312

Properties
- Formation energy from raw total energies: -0.2 eV/f.u.
- Total energy: -3.220 eV/atom
- Magnetic moment: 0.00 μB/cell
- Symmetry: P-43n

***

No. 6
# CsSi

A relaxed structure of CsSi (GGA-PBE, Alexandria via LeMat-Bulk).

a = 7.962 Å, b = 7.962 Å, c = 7.260 Å
α = 90.00°, β = 90.00°, γ = 90.00°
Element x y z (fractional)
Si 0.405 0.405 0.000
Si 0.095 0.905 0.500
Si 0.595 0.595 0.000
Si 0.905 0.095 0.500
Cs 0.319 0.319 0.500
Cs 0.181 0.819 0.000
Cs 0.819 0.181 0.000
Cs 0.681 0.681 0.500

Properties
- Formation energy from raw total energies: 0.4 eV/f.u.
- Total energy: -2.915 eV/atom
- Magnetic moment: 0.00 μB/cell
- Symmetry: P4_2/mnm

***

No. 7
# CsSi2

A relaxed structure of CsSi2 (GGA-PBE, Alexandria via LeMat-Bulk).

a = 3.870 Å, b = 7.252 Å, c = 7.927 Å
α = 106.36°, β = 103.34°, γ = 104.12°
Element x y z (fractional)
Cs 0.752 0.312 0.700
Cs 0.248 0.688 0.300
Si 0.046 0.878 0.767
Si 0.954 0.122 0.233
Si 0.385 0.158 0.057
Si 0.615 0.842 0.943

Properties
- Formation energy from raw total energies: 0.2 eV/f.u.
- Total energy: -3.837 eV/atom
- Magnetic moment: 0.00 μB/cell
- Symmetry: P-1

***

No. 8
# CsSi

A relaxed structure of CsSi (GGA-PBE, Alexandria via LeMat-Bulk).

a = 5.698 Å, b = 3.948 Å, c = 7.511 Å
α = 90.00°, β = 112.30°, γ = 90.00°
Element x y z (fractional)
Si 0.047 0.250 0.094
Si 0.953 0.750 0.906
Cs 0.349 0.250 0.699
Cs 0.651 0.750 0.301

Properties
- Formation energy from raw total energies: 0.2 eV/f.u.
- Total energy: -3.058 eV/atom
- Magnetic moment: 0.00 μB/cell
- Symmetry: Cmcm